Material: Tb2MgPtO5
Method: DFT, PBE
State: optimized geometry

Total energy in eV/atom: -6.90
Calculated volume in A^3/atom: 13.547
Formation energy from raw total energies in eV/f.u.: -20.42

Cell: 6.478 6.478 5.811 Å, 90.00 90.00 90.00°
Space group P4/mbm (No. 127)
Unique sites:
Tb 0.173 0.327 0.000 [4 per cell]
Mg 0.000 0.000 0.500 [2 per cell]
Pt 0.000 0.500 0.500 [2 per cell]
O 0.000 0.000 0.000 [2 per cell]
O 0.147 0.647 0.246 [8 per cell]